1.
Computed, not measured: SrPrAu3 after structural relaxation at the PBE level of DFT.

For the formation energy, the calculation gives -0.765 eV per atom.

The structure belongs to space group Cmcm (No. 63); the cell edges are 3.992, 28.857 and 4.674 Å and the angles 90.00°, 90.00° and 90.00°. Symmetry generates all atoms from Sr at (0.000, 0.073, 0.250), Pr at (0.000, 0.204, 0.750), Au at (0.000, 0.314, 0.750), Au at (0.000, 0.378, 0.250) and Au at (0.000, 0.474, 0.250).

***

2.
Computed, not measured: SbH2I2Cl2 after structural relaxation at the PBE level of DFT.

The total energy comes out at -2.801 eV/atom.

The structure belongs to space group C2/m (No. 12); the cell edges are 14.025, 4.064 and 10.251 Å and the angles 90.00°, 131.17° and 90.00°. Symmetry generates all atoms from Sb at (0.000, 0.000, 0.000), H at (0.007, 0.500, 0.470), I at (0.207, 0.500, 0.164) and Cl at (0.023, 0.000, 0.262).

***

3.
Computed, not measured: ScZn2Fe after structural relaxation at the PBE level of DFT.

For the formation energy, the calculation gives -0.093 eV per atom.

The structure belongs to space group P2/m (No. 10); the cell edges are 2.861, 3.654 and 5.893 Å and the angles 90.00°, 90.21° and 90.00°. Symmetry generates all atoms from Sc at (0.000, 0.000, 0.000), Zn at (0.499, 0.500, 0.715) and Fe at (0.000, 0.000, 0.500).

***

4.
Computed, not measured: NaCeTeSe after structural relaxation at the PBE level of DFT.

As for the formation energy from raw total energies: -1429 meV/atom.

The structure belongs to space group R3m (No. 160, hexagonal axes); the cell edges are 4.4316, 4.4316 and 21.7578 Å and the angles 90.00°, 90.00° and 120.00°. Symmetry generates all atoms from Na at (0.0000, 0.0000, 0.0000), Ce at (0.0000, 0.0000, 0.5111), Te at (0.0000, 0.0000, 0.7573) and Se at (0.0000, 0.0000, 0.2488).

***

5.
Computed, not measured: V5Ga2Rh12 after structural relaxation at the PBE level of DFT.

For the formation energy, the calculation gives -0.100 eV per atom.

The structure belongs to space group C2/m (No. 12); the cell edges are 14.334, 5.534 and 7.744 Å and the angles 90.00°, 105.24° and 90.00°. Symmetry generates all atoms from V at (0.000, 0.000, 0.000), V at (0.149, 0.500, 0.385), V at (0.221, 0.500, 0.911), Ga at (0.000, 0.250, 0.500), Rh at (0.021, 0.500, 0.802), Rh at (0.081, 0.000, 0.777), Rh at (0.140, 0.260, 0.104) and Rh at (0.197, 0.244, 0.633).

***

6.
Computed, not measured: Dy5P12Ru19 after structural relaxation at the PBE level of DFT.

For the formation energy, the calculation gives -0.863 eV per atom.

The structure belongs to space group P-62m (No. 189); the cell edges are 12.5272, 12.5272 and 3.9798 Å and the angles 90.00°, 90.00° and 120.00°. Symmetry generates all atoms from Dy at (0.0000, 0.8167, 0.0000), Dy at (0.3333, 0.6667, 0.5000), P at (0.0000, 0.1845, 0.5000), P at (0.0000, 0.6271, 0.5000), P at (0.1716, 0.4776, 0.0000), Ru at (0.0000, 0.0000, 0.5000), Ru at (0.0000, 0.2829, 0.0000), Ru at (0.0000, 0.4453, 0.5000), Ru at (0.1259, 0.6337, 0.0000) and Ru at (0.1850, 0.3769, 0.5000).

***

7.
Computed, not measured: KTiI3 after structural relaxation at the PBE level of DFT.

As for the formation energy from raw total energies: -881 meV/atom.

The structure belongs to space group P2_1/c (No. 14); the cell edges are 8.194, 9.137 and 14.427 Å and the angles 90.00°, 123.70° and 90.00°. Symmetry generates all atoms from K at (0.194, 0.108, 0.241), Ti at (0.123, 0.595, 0.058), I at (0.111, 0.198, 0.942), I at (0.262, 0.677, 0.936) and I at (0.384, 0.032, 0.755).

***

8.
Computed, not measured: Sr3HfP after structural relaxation at the PBE level of DFT.

The calculation puts the offset from the most stable computed form at 0.9057 eV per atom. For the formation energy, the calculation gives 1.115 eV per atom.

The structure belongs to space group Pm-3m (No. 221); the cell edges are 5.945, 5.945 and 5.945 Å and the angles 90.00°, 90.00° and 90.00°. Symmetry generates all atoms from Sr at (0.000, 0.000, 0.500), Hf at (0.000, 0.000, 0.000) and P at (0.500, 0.500, 0.500).

***

9.
Computed, not measured: Na2IrPd2O6 after structural relaxation at the PBE level of DFT.

As for the formation energy from raw total energies: -814 meV/atom.

The structure belongs to space group C2/m (No. 12); the cell edges are 5.706, 9.299 and 5.693 Å and the angles 90.00°, 110.62° and 90.00°. Symmetry generates all atoms from Na at (0.000, 0.173, 0.000), Ir at (0.000, 0.000, 0.500), Pd at (0.000, 0.336, 0.500), O at (0.217, 0.166, 0.692) and O at (0.249, 0.000, 0.312).

***

10.
Computed, not measured: Ce2Sb3Rh5 after structural relaxation at the PBE level of DFT.

As for the formation energy from raw total energies: -683 meV/atom.

The structure belongs to space group Cmc2_1 (No. 36); the cell edges are 4.383, 25.159 and 7.311 Å and the angles 90.00°, 90.00° and 90.00°. Symmetry generates all atoms from Ce at (0.000, 0.010, 0.000), Ce at (0.000, 0.323, 0.968), Sb at (0.000, 0.110, 0.236), Sb at (0.000, 0.279, 0.405), Sb at (0.000, 0.440, 0.242), Rh at (0.000, 0.101, 0.592), Rh at (0.000, 0.208, 0.117), Rh at (0.000, 0.220, 0.702), Rh at (0.000, 0.376, 0.542) and Rh at (0.000, 0.450, 0.855).

***

11.
Computed, not measured: NpTlHgO6 after structural relaxation at the PBE level of DFT.

As for the formation energy from raw total energies: -1356 meV/atom.

The structure belongs to space group P-31c (No. 163); the cell edges are 5.6843, 5.6843 and 9.8477 Å and the angles 90.00°, 90.00° and 120.00°. Symmetry generates all atoms from Np at (0.3333, 0.6667, 0.2500), Tl at (0.3333, 0.6667, 0.7500), Hg at (0.0000, 0.0000, 0.0000) and O at (0.0347, 0.3693, 0.1340).

***

12.
Computed, not measured: CaTc2Se after structural relaxation at the PBE level of DFT.

As for the formation energy from raw total energies: 363 meV/atom.

The structure belongs to space group I-4m2 (No. 119); the cell edges are 4.422, 4.422 and 7.095 Å and the angles 90.00°, 90.00° and 90.00°. Symmetry generates all atoms from Ca at (0.000, 0.000, 0.000), Tc at (0.000, 0.000, 0.500), Tc at (0.000, 0.500, 0.250) and Se at (0.000, 0.500, 0.750).

***

13.
Computed, not measured: ZrBiPCl2 after structural relaxation at the PBE level of DFT.

The calculation puts the offset from the most stable computed form at 0.9516 eV per atom. As for the formation energy from raw total energies: 483 meV/atom.

The structure belongs to space group P4/mmm (No. 123); the cell edges are 5.203, 5.203 and 5.580 Å and the angles 90.00°, 90.00° and 90.00°. Symmetry generates all atoms from Zr at (0.000, 0.000, 0.000), Bi at (0.500, 0.500, 0.500), P at (0.500, 0.500, 0.000) and Cl at (0.000, 0.500, 0.500).

***

14.
Computed, not measured: La8TlRu3I4 after structural relaxation at the PBE level of DFT.

As for the formation energy from raw total energies: -767 meV/atom.

The structure belongs to space group R-3m (No. 166, hexagonal axes); the cell edges are 8.6892, 8.6892 and 24.6212 Å and the angles 90.00°, 90.00° and 120.00°. Symmetry generates all atoms from La at (0.0000, 0.0000, 0.2315), La at (0.0295, 0.5147, 0.7718), Tl at (0.0000, 0.0000, 0.5000), Ru at (0.0000, 0.5000, 0.5000), I at (0.0000, 0.0000, 0.0000) and I at (0.0000, 0.5000, 0.0000).

***

15.
Computed, not measured: Cu2AgSe after structural relaxation at the PBE level of DFT.

As for the formation energy from raw total energies: 114 meV/atom.

The structure belongs to space group Pm (No. 6); the cell edges are 2.863, 3.617 and 6.371 Å and the angles 90.00°, 93.29° and 90.00°. Symmetry generates all atoms from Cu at (0.000, 0.000, 0.000), Cu at (0.492, 0.500, 0.822), Ag at (0.525, 0.500, 0.238) and Se at (0.716, 0.000, 0.584).

***

16.
Computed, not measured: Sr2LiRe after structural relaxation at the PBE level of DFT.

The calculation puts the offset from the most stable computed form at 0.0000 eV per atom. For the formation energy, the calculation gives 0.777 eV per atom.

The structure belongs to space group Cm (No. 8); the cell edges are 11.914, 3.119 and 5.850 Å and the angles 90.00°, 104.99° and 90.00°. Symmetry generates all atoms from Sr at (0.000, 0.000, 0.000), Sr at (0.198, 0.000, 0.611), Li at (0.415, 0.000, 0.420) and Re at (0.247, 0.500, 0.132).

***

17.
Computed, not measured: B2C after structural relaxation at the PBE level of DFT.

The calculation puts the offset from the most stable computed form at 0.2290 eV per atom. For the formation energy, the calculation gives 0.414 eV per atom.

The structure belongs to space group Pmm2 (No. 25); the cell edges are 2.270, 2.614 and 13.928 Å and the angles 90.00°, 90.00° and 90.00°. Symmetry generates all atoms from B at (0.000, 0.000, 0.000), B at (0.000, 0.000, 0.312), B at (0.000, 0.000, 0.657), B at (0.000, 0.500, 0.566), B at (0.000, 0.500, 0.911), B at (0.500, 0.000, 0.101), B at (0.500, 0.000, 0.414), B at (0.500, 0.000, 0.759), C at (0.000, 0.500, 0.238), C at (0.500, 0.500, 0.174), C at (0.500, 0.500, 0.479) and C at (0.500, 0.500, 0.824).

***

18.
Computed, not measured: ErHf2MgIr4 after structural relaxation at the PBE level of DFT.

For the formation energy, the calculation gives -0.833 eV per atom.

The structure belongs to space group R-3m (No. 166, hexagonal axes); the cell edges are 4.6190, 4.6190 and 22.7675 Å and the angles 90.00°, 90.00° and 120.00°. Symmetry generates all atoms from Er at (0.0000, 0.0000, 0.0000), Hf at (0.0000, 0.0000, 0.2454), Mg at (0.0000, 0.0000, 0.5000), Ir at (0.0000, 0.0000, 0.1254) and Ir at (0.0000, 0.0000, 0.3769).

***

19.
Computed, not measured: BeAlS2 after structural relaxation at the PBE level of DFT.

The calculation puts the offset from the most stable computed form at 0.0000 eV per atom. As for the formation energy from raw total energies: -574 meV/atom.

The structure belongs to space group I-42d (No. 122); the cell edges are 5.526, 5.526 and 8.976 Å and the angles 90.00°, 90.00° and 90.00°. Symmetry generates all atoms from Be at (0.000, 0.000, 0.000), Al at (0.000, 0.000, 0.500) and S at (0.207, 0.250, 0.125).

***

20.
Computed, not measured: ErCd3Hg3 after structural relaxation at the PBE level of DFT.

The calculation puts the offset from the most stable computed form at 0.5853 eV per atom. For the formation energy, the calculation gives 0.453 eV per atom.

The structure belongs to space group Pm-3n (No. 223); the cell edges are 7.796, 7.796 and 7.796 Å and the angles 90.00°, 90.00° and 90.00°. Symmetry generates all atoms from Er at (0.000, 0.000, 0.000), Cd at (0.000, 0.250, 0.500) and Hg at (0.000, 0.500, 0.250).